(1)
Here is YBe4In after structural relaxation from the Alexandria database. Energies are from PBE-GGA.

Cell lengths 4.968, 4.968, 4.968 Å; angles 60.00, 60.00, 60.00 degrees
Element x y z (fractional)
Y  0.000  0.000  0.000
Be  0.635  0.635  0.094
Be  0.635  0.094  0.635
Be  0.635  0.635  0.635
Be  0.094  0.635  0.635
In  0.250  0.250  0.250

Calculated formation energy in eV per atom: 0.2219

(2)
Here is Np2PaGa after structural relaxation from the Alexandria database. Energies are from PBE-GGA.

Cell lengths 4.540, 4.360, 4.360 Å; angles 90.00, 90.00, 90.00 degrees
Each line ends with the local moment (μB).
Element x y z (fractional)
Np  0.000  0.000  0.500  3.40
Np  0.000  0.500  0.000  3.40
Pa  0.500  0.000  0.000  0.32
Ga  0.500  0.500  0.500  -0.04

Calculated formation energy in eV per atom: 0.1147

(3)
Here is Er3Tl3Cd after structural relaxation from the Alexandria database. Energies are from PBE-GGA.

Cell lengths 3.749, 6.353, 16.776 Å; angles 84.19, 83.58, 72.84 degrees
Element x y z (fractional)
Er  0.482  0.403  0.632
Er  0.518  0.597  0.368
Er  0.258  0.263  0.221
Er  0.742  0.737  0.779
Er  0.380  0.313  0.927
Er  0.620  0.687  0.073
Tl  0.862  0.760  0.515
Tl  0.138  0.240  0.485
Tl  0.118  0.837  0.926
Tl  0.882  0.163  0.074
Tl  0.003  0.774  0.221
Tl  0.997  0.226  0.779
Cd  0.786  0.069  0.359
Cd  0.214  0.931  0.641

Calculated formation energy in eV per atom: -0.2272
Energy relative to the lowest polymorph listed for this composition in meV/atom: 0

(4)
Here is La2Y3N4 after structural relaxation from the Alexandria database. Energies are from PBE-GGA.

Cell lengths 3.531, 6.148, 8.265 Å; angles 74.80, 77.67, 73.31 degrees
Each line ends with the local moment (μB).
Element x y z (fractional)
La  0.603  0.179  0.616  0.08
La  0.397  0.821  0.384  0.08
Y  0.000  0.000  0.000  0.01
Y  0.213  0.397  0.177  0.05
Y  0.787  0.603  0.823  0.05
N  0.806  0.103  0.284  0.01
N  0.194  0.897  0.716  0.01
N  0.394  0.304  0.909  0.00
N  0.606  0.696  0.091  0.00

(5)
Here is NaSnH after structural relaxation from the Alexandria database. Energies are from PBE-GGA.

Cell lengths 3.144, 7.771, 9.733 Å; angles 90.00, 90.00, 90.00 degrees
Element x y z (fractional)
Na  0.500  0.500  0.043
Na  0.500  0.500  0.543
Na  0.500  0.000  0.559
Na  0.500  0.000  0.059
Sn  0.000  0.750  0.801
Sn  0.000  0.250  0.801
Sn  0.000  0.250  0.301
Sn  0.000  0.750  0.301
H  0.000  0.500  0.217
H  0.000  0.500  0.717
H  0.000  0.000  0.386
H  0.000  0.000  0.886

Energy relative to the lowest polymorph listed for this composition in meV/atom: 161

(6)
Here is KScI2 after structural relaxation from the Alexandria database. Energies are from PBE-GGA.

Cell lengths 5.655, 5.655, 5.655 Å; angles 60.00, 60.00, 60.00 degrees
Each line ends with the local moment (μB).
Element x y z (fractional)
I  0.250  0.250  0.250  -0.02
I  0.750  0.750  0.750  -0.02
Sc  0.500  0.500  0.500  1.19
K  0.000  0.000  0.000  0.03

Energy relative to the lowest polymorph listed for this composition in meV/atom: 199

(7)
Here is Pr8Mg2Al after structural relaxation from the Alexandria database. Energies are from PBE-GGA.

Cell lengths 5.427, 7.812, 9.515 Å; angles 111.12, 106.57, 90.00 degrees
Element x y z (fractional)
Pr  0.407  0.558  0.813
Pr  0.663  0.944  0.327
Pr  0.809  0.728  0.617
Pr  0.981  0.221  0.963
Pr  0.191  0.272  0.383
Pr  0.337  0.056  0.673
Pr  0.593  0.442  0.187
Pr  0.019  0.779  0.037
Mg  0.819  0.320  0.638
Mg  0.181  0.680  0.362
Al  0.500  0.000  0.000

Calculated formation energy in eV per atom: -0.0200

(8)
Here is Rb3HgPt after structural relaxation from the Alexandria database. Energies are from PBE-GGA.

Cell lengths 6.241, 11.002, 13.169 Å; angles 102.82, 90.00, 90.00 degrees
Element x y z (fractional)
Rb  0.939  0.997  0.355
Rb  0.061  0.003  0.645
Rb  0.439  0.003  0.145
Rb  0.561  0.997  0.855
Rb  0.478  0.258  0.425
Rb  0.522  0.742  0.575
Rb  0.978  0.742  0.075
Rb  0.022  0.258  0.925
Rb  0.987  0.383  0.633
Rb  0.013  0.617  0.367
Rb  0.487  0.617  0.867
Rb  0.513  0.383  0.133
Hg  0.987  0.275  0.249
Hg  0.013  0.725  0.751
Hg  0.487  0.725  0.251
Hg  0.513  0.275  0.749
Pt  0.555  0.078  0.585
Pt  0.445  0.922  0.415
Pt  0.055  0.922  0.915
Pt  0.945  0.078  0.085

Calculated formation energy in eV per atom: -0.1071
Energy relative to the lowest polymorph listed for this composition in meV/atom: 0

no.,DFT total energy (Ha/atom),N(E_F) (states/eV per atom)
1,-0.140,0.32
2,-0.349,3.08
3,-0.122,0.86
4,-0.305,0.36
5,-0.104,0.31
6,-0.119,0.41
7,-0.152,1.36
8,-0.072,0.41